# 1
Here is crystalline YHo3Fe at its relaxed geometry from Alexandria via LeMat-Bulk. Energies are from GGA-PBE.

a b c (Å): 8.8126 3.6003 9.1739
angles (deg): 90.00 109.03 90.00
With the nearest neighbours (Å) after each atom.
Fractional coordinates of all 10 atoms:
Y: 0.1392 0.2500 0.4374  7 Ho 3.40-3.71, 4 Y 3.52-3.60
Y: 0.8608 0.7500 0.5626  7 Ho 3.40-3.71, 4 Y 3.52-3.60
Ho: 0.1631 0.7500 0.1258  1 Fe 2.85
Ho: 0.2124 0.2500 0.8253  3 Fe 2.90-2.91
Ho: 0.4902 0.7500 0.6978  3 Fe 2.95-3.24
Ho: 0.5098 0.2500 0.3022  3 Fe 2.95-3.24
Ho: 0.7876 0.7500 0.1747  3 Fe 2.90-2.91
Ho: 0.8369 0.2500 0.8742  1 Fe 2.85
Fe: 0.4418 0.7500 0.0331  2 Fe 2.25
Fe: 0.5582 0.2500 0.9669  2 Fe 2.25

Summary:
- ρ: 7.719 Mg/m³
- Space group: P2_1/m, No. 11
- Electronic total energy: -28.56 eV per formula unit
- Energy relative to the elements: 0.021 eV/atom



# 2
Here is crystalline AcPr2PuBi4 at its relaxed geometry from Alexandria via LeMat-Bulk. Energies are from GGA-PBE.

a b c (Å): 8.1028 4.6828 8.1269
angles (deg): 90.00 109.40 90.00
With the nearest neighbours (Å) after each atom.
Fractional coordinates of all 8 atoms:
Ac: 0.0000 0.0000 0.0000  6 Bi 3.37
Pr: 0.0000 0.5000 0.5000  6 Bi 3.34-3.35
Pr: 0.5000 0.0000 0.5000  6 Bi 3.25-3.26
Pu: 0.5000 0.5000 0.0000  6 Bi 3.28
Bi: 0.2594 0.0000 0.7506  3 Pr 3.25-3.35, 2 Pu 3.28, 1 Ac 3.37
Bi: 0.2611 0.5000 0.2563  3 Pr 3.26-3.34, 1 Pu 3.28, 2 Ac 3.37
Bi: 0.7389 0.5000 0.7437  3 Pr 3.26-3.34, 1 Pu 3.28, 2 Ac 3.37
Bi: 0.7406 0.0000 0.2494  3 Pr 3.25-3.35, 2 Pu 3.28, 1 Ac 3.37

Summary:
- ρ: 9.070 Mg/m³
- Space group: P2/m, No. 10
- Electronic total energy: -49.82 eV per formula unit
- Energy relative to the elements: -0.788 eV/atom



# 3
Here is crystalline Sr3Sb2H at its relaxed geometry from Alexandria via LeMat-Bulk. Energies are from GGA-PBE.

a b c (Å): 9.6201 4.2694 18.7332
angles (deg): 90.00 90.00 90.00
With the nearest neighbours (Å) after each atom.
Fractional coordinates of all 24 atoms:
Sr: 0.0190 0.2500 0.1055  2 H 2.50
Sr: 0.1188 0.2500 0.5801  1 H 2.55
Sr: 0.1856 0.7500 0.2747  1 H 2.63
Sr: 0.3144 0.2500 0.7747  1 H 2.63
Sr: 0.3812 0.7500 0.0801  1 H 2.55
Sr: 0.4810 0.7500 0.6055  2 H 2.50
Sr: 0.5190 0.2500 0.3945  2 H 2.50
Sr: 0.6188 0.2500 0.9199  1 H 2.55
Sr: 0.6856 0.7500 0.2253  1 H 2.63
Sr: 0.8144 0.2500 0.7253  1 H 2.63
Sr: 0.8812 0.7500 0.4199  1 H 2.55
Sr: 0.9810 0.7500 0.8945  2 H 2.50
Sb: 0.0795 0.7500 0.7176  7 Sr 3.29-3.45
Sb: 0.2476 0.2500 0.9565  7 Sr 3.40-3.64
Sb: 0.2524 0.7500 0.4565  7 Sr 3.40-3.64
Sb: 0.4205 0.2500 0.2176  7 Sr 3.29-3.45
Sb: 0.5795 0.7500 0.7824  7 Sr 3.29-3.45
Sb: 0.7476 0.2500 0.5435  7 Sr 3.40-3.64
Sb: 0.7524 0.7500 0.0435  7 Sr 3.40-3.64
Sb: 0.9205 0.2500 0.2824  7 Sr 3.29-3.45
H: 0.1396 0.7500 0.1362  4 Sr 2.50-2.63
H: 0.3604 0.2500 0.6362  4 Sr 2.50-2.63
H: 0.6396 0.7500 0.3638  4 Sr 2.50-2.63
H: 0.8604 0.2500 0.8638  4 Sr 2.50-2.63

Summary:
- ρ: 4.380 Mg/m³
- Space group: Pnma, No. 62
- Electronic total energy: -21.85 eV per formula unit



# 4
Here is crystalline PmTmSi2Au2 at its relaxed geometry from Alexandria via LeMat-Bulk. Energies are from GGA-PBE.

a b c (Å): 4.3024 4.3024 7.8930
angles (deg): 90.00 90.00 120.00
With the nearest neighbours (Å) after each atom.
Fractional coordinates of all 6 atoms:
Pm: 0.0000 0.0000 0.0000  6 Si 3.17, 6 Au 3.28
Tm: 0.0000 0.0000 0.5000  6 Au 3.07, 6 Si 3.17
Si: 0.3333 0.6667 0.7497  3 Au 2.49
Si: 0.6667 0.3333 0.2503  3 Au 2.49
Au: 0.3333 0.6667 0.2709  3 Si 2.49
Au: 0.6667 0.3333 0.7291  3 Si 2.49

Summary:
- ρ: 10.027 Mg/m³
- Space group: P-3m1, No. 164
- Electronic total energy: -31.46 eV per formula unit
- E_form (uncorrected): -0.806 eV/atom



Q: Which of these has the highest electronic total energy?
A: Sr3Sb2H